# LaMgRe3

A relaxed structure of LaMgRe3 (PBE, Alexandria).

excess energy over the best structure of this formula in the dataset	0.798	eV/atom
formation energy from the elements	13.58	eV per formula unit

Cell: 4.8591 4.8591 4.8591 Å, 90.00 90.00 90.00°
Last column: nearest neighbours and their distance in Å.
Space group Pm-3m (No. 221)
Inequivalent atoms, fractional coordinates:
La 0.0000 0.0000 0.0000 (multiplicity 1)  6 Re 2.43
Mg 0.5000 0.5000 0.5000 (multiplicity 1)  12 Re 3.44
Re 0.0000 0.0000 0.5000 (multiplicity 3)  2 La 2.43